## one
A geometry-optimized Tl2InBr2 structure. Source: Alexandria via LeMat-Bulk, functional PBE.

Cell lengths 8.607, 8.607, 4.604 Å; angles 90.00, 90.00, 90.00 degrees
Fractional coordinates of all 10 atoms:
1 Tl 0.350 0.850 0.000
2 Tl 0.850 0.650 0.000
3 Tl 0.650 0.150 0.000
4 Tl 0.150 0.350 0.000
5 Br 0.166 0.666 0.500
6 Br 0.666 0.834 0.500
7 Br 0.834 0.334 0.500
8 Br 0.334 0.166 0.500
9 In 0.000 0.000 0.000
10 In 0.500 0.500 0.000

- density of states at the Fermi level (states/eV/atom) = 0.74

## two
A geometry-optimized Tl2InBr2 structure. Source: Alexandria via LeMat-Bulk, functional PBE.

Cell lengths 8.833, 8.833, 4.449 Å; angles 90.00, 90.00, 90.00 degrees
Fractional coordinates of all 10 atoms:
1 Tl 0.158 0.658 0.500
2 Tl 0.658 0.842 0.500
3 Tl 0.842 0.342 0.500
4 Tl 0.342 0.158 0.500
5 Br 0.347 0.847 0.000
6 Br 0.847 0.653 0.000
7 Br 0.653 0.153 0.000
8 Br 0.153 0.347 0.000
9 In 0.000 0.000 0.000
10 In 0.500 0.500 0.000

- density of states at the Fermi level (states/eV/atom) = 0.41

Here is how they stack up, most stable first: two, one.